Tm2Pt2O7 | PBE-GGA | optimized geometry Values from VASP.

Structure (Quantum ESPRESSO input):
```
&SYSTEM
  ibrav = 0, nat = 22, ntyp = 3
/
ATOMIC_SPECIES
Tm 168.93 Tm.upf
Pt 195.08 Pt.upf
O 16.00 O.upf
ATOMIC_POSITIONS angstrom
Tm 0.0000 0.0000 0.0000
Tm 2.5488 2.5488 0.0000
Tm 2.5488 0.0000 2.5488
Tm 0.0000 2.5488 2.5488
Pt 5.0976 2.5488 2.5488
Pt 2.5488 5.0976 2.5488
Pt 2.5488 2.5488 5.0976
Pt 5.0976 5.0976 5.0976
O 1.2744 1.2744 1.2744
O 3.8232 3.8232 1.5941
O 3.8232 1.5941 3.8232
O 6.0523 3.8232 3.8232
O 6.3720 6.3720 4.1430
O 6.3720 4.1430 6.3720
O 8.6011 6.3720 6.3720
O 1.5941 3.8232 3.8232
O 3.8232 6.0523 3.8232
O 3.8232 3.8232 6.0523
O 4.1430 6.3720 6.3720
O 6.3720 8.6011 6.3720
O 6.3720 6.3720 8.6011
O 8.9209 8.9209 8.9209
CELL_PARAMETERS angstrom
0.0000 5.0976 5.0976
5.0976 0.0000 5.0976
5.0976 5.0976 0.0000
```

## Properties
Volume   12.0 Å³ per atom
Uncorrected formation energy   -197.6 kJ per mole of atoms
Magnetic moment   0.00 μB per cell
ρ   10.53 Mg/m³